The following is a SCAN calculation of a PBEsol-optimized structure of BaLi4, from the Alexandria database.

Computed properties:
Crystal system: tetragonal
Density of states at the Fermi level: 2.72 states/eV/cell
Energy relative to the lowest polymorph listed for this composition: 42 meV per atom
Formation energy: 0.04 eV/atom

Unit cell a=6.791 b=6.791 c=6.791 alpha=136.03 beta=136.03 gamma=63.94
Positions (direct):
Ba  0.000  0.000  0.000
Li  0.250  0.750  0.500
Li  0.372  0.372  0.000
Li  0.628  0.628  0.000
Li  0.750  0.250  0.500

***

The following is a SCAN calculation of a PBEsol-optimized structure of MgAg2, from the Alexandria database.

Computed properties:
Crystal system: monoclinic
Density of states at the Fermi level: 1.84 states/eV/cell
Energy relative to the lowest polymorph listed for this composition: 56 meV per atom
Formation energy: -0.13 eV/atom

Unit cell a=5.476 b=5.476 c=6.798 alpha=104.03 beta=104.03 gamma=31.88
Positions (direct):
Mg  0.000  0.000  0.000
Mg  0.684  0.684  0.360
Ag  0.287  0.287  0.082
Ag  0.345  0.345  0.680
Ag  0.627  0.627  0.748
Ag  0.963  0.963  0.410

***

The following is a SCAN calculation of a PBEsol-optimized structure of Sm3Hg, from the Alexandria database.

Computed properties:
Crystal system: tetragonal
Density of states at the Fermi level: 3.82 states/eV/cell
Energy relative to the lowest polymorph listed for this composition: 25 meV per atom
Formation energy: -0.28 eV/atom

Unit cell a=5.932 b=5.932 c=5.932 alpha=133.29 beta=133.29 gamma=68.19
Positions (direct):
Sm  0.000  0.000  0.000
Sm  0.250  0.750  0.500
Sm  0.750  0.250  0.500
Hg  0.500  0.500  0.000

***

The following is a SCAN calculation of a PBEsol-optimized structure of Eu2Zn5Ni5, from the Alexandria database.

Computed properties:
Crystal system: orthorhombic
Density of states at the Fermi level: 20.40 states/eV/cell
Formation energy: -0.27 eV/atom

Unit cell a=3.942 b=5.182 c=8.816 alpha=90.00 beta=90.00 gamma=90.00
Positions (direct):
Eu  0.000  0.000  0.000
Eu  0.000  0.500  0.500
Zn  0.500  0.000  0.500
Zn  0.500  0.253  0.243
Zn  0.500  0.253  0.757
Zn  0.500  0.747  0.243
Zn  0.500  0.747  0.757
Ni  0.000  0.000  0.333
Ni  0.000  0.000  0.667
Ni  0.000  0.500  0.157
Ni  0.000  0.500  0.843
Ni  0.500  0.500  0.000

***

The following is a SCAN calculation of a PBEsol-optimized structure of Y2BeNbIn, from the Alexandria database.

Computed properties:
Crystal system: tetragonal
Density of states at the Fermi level: 4.83 states/eV/cell
Formation energy: 0.83 eV/atom

Unit cell a=5.598 b=5.598 c=4.279 alpha=90.00 beta=90.00 gamma=90.00
Positions (direct):
Y  0.000  0.500  0.000
Y  0.500  0.000  0.000
Be  0.000  0.000  0.500
Nb  0.500  0.500  0.500
In  0.000  0.000  0.000

***

The following is a SCAN calculation of a PBEsol-optimized structure of Li4V3O4F8, from the Alexandria database.

Computed properties:
Crystal system: triclinic
Density of states at the Fermi level: 1.41 states/eV/cell
E_form (uncorrected): -2.960 eV per atom

Unit cell a=5.529 b=5.654 c=6.448 alpha=98.63 beta=100.01 gamma=95.63
Positions (direct):
Li  0.000  0.000  0.000
Li  0.188  0.294  0.634
Li  0.480  0.998  0.777
Li  0.713  0.487  0.829
V  0.320  0.621  0.168
V  0.616  0.198  0.292
V  0.907  0.754  0.494
O  0.169  0.686  0.394
O  0.436  0.908  0.166
O  0.637  0.546  0.307
O  0.850  0.024  0.384
F  0.000  0.655  0.014
F  0.136  0.982  0.743
F  0.248  0.273  0.176
F  0.384  0.497  0.889
F  0.487  0.208  0.556
F  0.691  0.797  0.703
F  0.723  0.195  0.012
F  0.925  0.457  0.619

***

The following is a SCAN calculation of a PBEsol-optimized structure of Tb3Fe2Si3, from the Alexandria database.

Computed properties:
Crystal system: orthorhombic
Density of states at the Fermi level: 8.32 states/eV/cell
E_form (uncorrected): -0.577 eV per atom

Unit cell a=5.597 b=5.597 c=13.463 alpha=90.00 beta=90.00 gamma=137.66
Positions (direct):
Tb  0.082  0.918  0.612
Tb  0.082  0.918  0.888
Tb  0.369  0.631  0.750
Tb  0.631  0.369  0.250
Tb  0.918  0.082  0.112
Tb  0.918  0.082  0.388
Fe  0.216  0.784  0.080
Fe  0.216  0.784  0.420
Fe  0.784  0.216  0.580
Fe  0.784  0.216  0.920
Si  0.319  0.681  0.250
Si  0.374  0.626  0.540
Si  0.374  0.626  0.960
Si  0.626  0.374  0.040
Si  0.626  0.374  0.460
Si  0.681  0.319  0.750

***

The following is a SCAN calculation of a PBEsol-optimized structure of CoHgPt, from the Alexandria database.

Computed properties:
Crystal system: cubic
Density of states at the Fermi level: 1.64 states/eV/cell
Formation energy: 0.34 eV/atom

Unit cell a=4.161 b=4.161 c=4.161 alpha=60.00 beta=60.00 gamma=60.00
Positions (direct):
Co  0.000  0.000  0.000
Hg  0.750  0.750  0.750
Pt  0.250  0.250  0.250

***

The following is a SCAN calculation of a PBEsol-optimized structure of KLaSb2, from the Alexandria database.

Computed properties:
Crystal system: cubic
Density of states at the Fermi level: 1.87 states/eV/cell
E_form (uncorrected): -0.295 eV per atom
Energy relative to the lowest polymorph listed for this composition: 554 meV per atom

Unit cell a=5.502 b=5.502 c=5.502 alpha=60.00 beta=60.00 gamma=60.00
Positions (direct):
K  0.000  0.000  0.000
La  0.750  0.750  0.750
Sb  0.250  0.250  0.250
Sb  0.500  0.500  0.500

***

The following is a SCAN calculation of a PBEsol-optimized structure of TePOsO2, from the Alexandria database.

Computed properties:
Crystal system: tetragonal
Density of states at the Fermi level: 1.66 states/eV/cell
E_form (uncorrected): -0.296 eV per atom

Unit cell a=3.762 b=3.762 c=5.419 alpha=90.00 beta=90.00 gamma=90.00
Positions (direct):
Te  0.000  0.000  0.000
P  0.500  0.500  0.000
Os  0.500  0.500  0.500
O  0.000  0.500  0.500
O  0.500  0.000  0.500

***

The following is a SCAN calculation of a PBEsol-optimized structure of Ba3HSe, from the Alexandria database.

Computed properties:
Crystal system: cubic
Density of states at the Fermi level: 4.22 states/eV/cell
Electronic total energy: -144.0 eV for the cell shown

Unit cell a=6.223 b=6.223 c=6.223 alpha=90.00 beta=90.00 gamma=90.00
Positions (direct):
Ba  0.000  0.000  0.500
Ba  0.000  0.500  0.000
Ba  0.500  0.000  0.000
H  0.500  0.500  0.500
Se  0.000  0.000  0.000

***

The following is a SCAN calculation of a PBEsol-optimized structure of KPb2Au, from the Alexandria database.

Computed properties:
Crystal system: orthorhombic
Density of states at the Fermi level: 1.37 states/eV/cell
Formation energy: -0.24 eV/atom

Unit cell a=6.581 b=6.581 c=6.581 alpha=149.99 beta=127.02 gamma=62.09
Positions (direct):
K  0.000  0.000  0.000
Pb  0.291  0.791  0.500
Pb  0.709  0.209  0.500
Au  0.500  0.500  0.000

***

The following is a SCAN calculation of a PBEsol-optimized structure of SbBr2Cl, from the Alexandria database.

Computed properties:
Crystal system: trigonal
Density of states at the Fermi level: 1.02 states/eV/cell
E_form (uncorrected): -0.198 eV per atom
Energy relative to the lowest polymorph listed for this composition: 448 meV per atom

Unit cell a=7.374 b=7.374 c=7.374 alpha=33.78 beta=33.78 gamma=33.78
Positions (direct):
Sb  0.000  0.000  0.000
Br  0.261  0.261  0.261
Br  0.739  0.739  0.739
Cl  0.500  0.500  0.500

***

The following is a SCAN calculation of a PBEsol-optimized structure of TeOsPb2, from the Alexandria database.

Computed properties:
Crystal system: tetragonal
Density of states at the Fermi level: 2.82 states/eV/cell
E_form (uncorrected): 1.010 eV per atom

Unit cell a=4.292 b=4.292 c=5.011 alpha=90.00 beta=90.00 gamma=90.00
Positions (direct):
Te  0.000  0.000  0.000
Os  0.500  0.500  0.000
Pb  0.000  0.500  0.500
Pb  0.500  0.000  0.500

***

The following is a SCAN calculation of a PBEsol-optimized structure of Cd2InW, from the Alexandria database.

Computed properties:
Crystal system: monoclinic
Density of states at the Fermi level: 2.17 states/eV/cell
Formation energy: 0.56 eV/atom

Unit cell a=2.822 b=5.266 c=5.146 alpha=90.00 beta=91.76 gamma=90.00
Positions (direct):
Cd  0.230  0.000  0.241
Cd  0.770  0.000  0.759
In  0.000  0.500  0.500
W  0.500  0.500  0.000

***

The following is a SCAN calculation of a PBEsol-optimized structure of BeNi2Cl, from the Alexandria database.

Computed properties:
Crystal system: monoclinic
Density of states at the Fermi level: 2.10 states/eV/cell
E_form (uncorrected): 0.043 eV per atom
Energy relative to the lowest polymorph listed for this composition: 0 meV per atom

Unit cell a=3.187 b=3.187 c=5.737 alpha=106.37 beta=106.37 gamma=59.95
Positions (direct):
Be  0.000  0.000  0.000
Ni  0.272  0.272  0.821
Ni  0.728  0.728  0.179
Cl  0.500  0.500  0.500

***

The following is a SCAN calculation of a PBEsol-optimized structure of Rb2InAsAu, from the Alexandria database.

Computed properties:
Crystal system: tetragonal
Density of states at the Fermi level: 4.53 states/eV/cell
Formation energy: -0.01 eV/atom

Unit cell a=6.603 b=6.603 c=4.689 alpha=90.00 beta=90.00 gamma=90.00
Positions (direct):
Rb  0.000  0.500  0.000
Rb  0.500  0.000  0.000
In  0.000  0.000  0.500
As  0.500  0.500  0.000
Au  0.500  0.500  0.500

***

The following is a SCAN calculation of a PBEsol-optimized structure of Li4MnP6H8O22, from the Alexandria database.

Computed properties:
Crystal system: triclinic
Density of states at the Fermi level: 0.00 states/eV/cell
Electronic total energy: -338.9 eV for the cell shown

Unit cell a=6.948 b=7.237 c=8.873 alpha=92.74 beta=104.86 gamma=90.05
Positions (direct):
Li  0.123  0.120  0.459
Li  0.216  0.999  0.775
Li  0.784  0.001  0.225
Li  0.877  0.880  0.541
Mn  0.000  0.500  0.000
P  0.221  0.439  0.717
P  0.315  0.729  0.527
P  0.466  0.299  0.155
P  0.534  0.701  0.845
P  0.685  0.271  0.473
P  0.779  0.561  0.283
H  0.101  0.158  0.168
H  0.108  0.940  0.174
H  0.268  0.724  0.207
H  0.275  0.777  0.031
H  0.725  0.223  0.969
H  0.732  0.276  0.793
H  0.892  0.060  0.826
H  0.899  0.842  0.832
O  0.061  0.055  0.223
O  0.066  0.530  0.785
O  0.175  0.878  0.558
O  0.183  0.746  0.097
O  0.211  0.235  0.681
O  0.225  0.532  0.556
O  0.249  0.308  0.074
O  0.373  0.719  0.378
O  0.403  0.833  0.905
O  0.441  0.494  0.827
O  0.481  0.256  0.335
O  0.519  0.744  0.665
O  0.559  0.506  0.173
O  0.597  0.167  0.095
O  0.627  0.281  0.622
O  0.751  0.692  0.926
O  0.775  0.468  0.444
O  0.789  0.765  0.319
O  0.817  0.254  0.903
O  0.825  0.122  0.442
O  0.934  0.470  0.215
O  0.939  0.945  0.777

***

The following is a SCAN calculation of a PBEsol-optimized structure of HfGa3Si, from the Alexandria database.

Computed properties:
Crystal system: cubic
Density of states at the Fermi level: 3.24 states/eV/cell
E_form (uncorrected): 0.680 eV per atom

Unit cell a=4.631 b=4.631 c=4.631 alpha=90.00 beta=90.00 gamma=90.00
Positions (direct):
Hf  0.000  0.000  0.000
Ga  0.000  0.500  0.500
Ga  0.500  0.000  0.500
Ga  0.500  0.500  0.000
Si  0.500  0.500  0.500

***

The following is a SCAN calculation of a PBEsol-optimized structure of HfS2ICl, from the Alexandria database.

Computed properties:
Crystal system: tetragonal
Density of states at the Fermi level: 3.18 states/eV/cell
E_form (uncorrected): -0.743 eV per atom

Unit cell a=4.951 b=4.951 c=4.893 alpha=90.00 beta=90.00 gamma=90.00
Positions (direct):
Hf  0.000  0.000  0.000
S  0.000  0.500  0.000
S  0.500  0.000  0.000
I  0.500  0.500  0.500
Cl  0.000  0.000  0.500